Nd2ErCd3AgAu2 | PBE-GGA | relaxed

Unit cell a=3.906 b=7.909 c=7.909 alpha=119.73 beta=90.00 gamma=90.00
Positions (direct):
1 Nd 0.000 0.204 0.796
2 Nd 0.000 0.796 0.204
3 Er 0.000 0.614 0.614
4 Cd 0.500 0.208 0.464
5 Cd 0.500 0.464 0.208
6 Cd 0.500 0.944 0.944
7 Ag 0.000 0.207 0.207
8 Au 0.500 0.540 0.863
9 Au 0.500 0.863 0.540

Values from the calculation:
Total energy   -3.47 eV per atom
Formation energy   -0.567 eV/atom